Density functional theory data (PBE) for a geometry-optimized BaTcIr structure.

The uncorrected energy comes out at -6.88 eV per atom. The density is 7.8 Mg/m³. Its energy above the most stable polymorph in this dataset is 90 meV/atom. Its density of states at the Fermi level is 0.84 states/eV/atom. As for the formation enthalpy at 0 K: 0.174 eV per atom.

The space group is P-1 (No. 2) and the conventional cell measures 4.4557, 4.9411 and 8.4348 Å, with angles of 92.71, 92.88 and 100.37 degrees. Symmetry generates all atoms from Ba at (0.2358, 0.2386, 0.3120), Tc at (0.3018, 0.3455, 0.9124) and Ir at (0.2202, 0.8335, 0.9959).